{"formula": "SrCa2Mo", "functional": "PBE-GGA", "state": "relaxed", "lattice": [[-0.162, 2.134, 11.466], [-3.554, 0.807, 11.080], [-0.733, -1.484, 11.546]], "species": ["Sr", "Mo", "Ca", "Ca"], "fractional_positions": [[0.750, 0.750, 0.750], [0.250, 0.250, 0.250], [0.982, 0.982, 0.982], [0.518, 0.518, 0.518]], "mass_density_g_cm3": 3.28, "crystal_system": "trigonal", "formation_energy_ev_per_atom": 0.75, "n_ef_per_ev_fu": 4.3, "polymorph_energy_ev_per_atom": 0.118}



{"formula": "VNi2AgHg", "functional": "PBE-GGA", "state": "relaxed", "lattice": [[4.636, 0.000, 0.000], [0.000, 5.004, 0.000], [0.000, 0.000, 4.636]], "species": ["Ni", "Ni", "Hg", "Ag", "V"], "fractional_positions": [[0.000, 0.000, 0.500], [0.500, 0.000, 0.000], [0.000, 0.500, 0.000], [0.000, 0.000, 0.000], [0.500, 0.500, 0.500]], "mass_density_g_cm3": 7.36, "crystal_system": "tetragonal", "formation_energy_ev_per_atom": 1.62, "n_ef_per_ev_fu": 11.1}



{"formula": "PaCuRu", "functional": "PBE-GGA", "state": "relaxed", "lattice": [[-0.815, -3.063, 0.840], [-0.937, -0.899, -4.186], [4.054, -0.659, 1.528]], "species": ["Ru", "Pa", "Cu"], "fractional_positions": [[0.166, 0.000, 0.000], [0.667, 0.333, 0.667], [0.167, 0.667, 0.333]], "mass_density_g_cm3": 12.05, "crystal_system": "hexagonal", "formation_energy_ev_per_atom": -0.09, "n_ef_per_ev_fu": 3.8, "polymorph_energy_ev_per_atom": 0.069}